A relaxed structure of RbZn3Cr, computed with PBE.

Structure (POSCAR):
```
RbZn3Cr
1.0
5.139 0.000 0.000
0.000 5.139 0.000
0.000 0.000 5.139
Rb Zn Cr
1 3 1
Direct
0.000 0.000 0.000
0.000 0.500 0.500
0.500 0.000 0.500
0.500 0.500 0.000
0.500 0.500 0.500
```

Values from the calculation:
Magnetization   4.35 μB per formula unit
Energy relative to the lowest polymorph listed for this composition   0 meV/atom
Formation energy   39.5 kJ per mole of atoms
Uncorrected energy   -2.473 eV per atom